Record 1
DFT (PBE) results for a relaxed structure of SbPd3Se2.

symmetry	C2/c
ΔE_f (raw)	-241	meV per atom
crystal system	monoclinic
DOS(E_F)	2.76	states/eV/f.u.
E	-56.2	eV per cell

Lattice parameters (Å, degrees): 6.310 6.945 6.945 124.04 100.93 100.93
Positions (direct):
Sb  0.250  0.563  0.437
Sb  0.750  0.437  0.563
Pd  0.954  0.122  0.300
Pd  0.454  0.300  0.122
Pd  0.000  0.500  0.000
Pd  0.046  0.878  0.700
Pd  0.500  0.000  0.500
Pd  0.546  0.700  0.878
Se  0.250  0.906  0.094
Se  0.250  0.281  0.719
Se  0.750  0.094  0.906
Se  0.750  0.719  0.281

***

Record 2
DFT (PBE) results for a relaxed structure of SbPd2Se.

symmetry	R3m
ΔE_f (raw)	-209	meV per atom
crystal system	trigonal
DOS(E_F)	2.58	states/eV/f.u.
E	-18.8	eV per cell

Lattice parameters (Å, degrees): 4.198 4.198 5.894 69.14 69.14 60.00
Positions (direct):
Sb  0.669  0.669  0.992
Pd  0.076  0.076  0.772
Pd  0.260  0.260  0.219
Se  0.494  0.494  0.518

***

Record 3
DFT (PBE) results for a relaxed structure of SbPd4Se3.

symmetry	Pmn2_1
ΔE_f (raw)	-248	meV per atom
crystal system	orthorhombic
DOS(E_F)	4.38	states/eV/f.u.
E	-74.7	eV per cell

Lattice parameters (Å, degrees): 6.424 6.573 8.047 90.00 90.00 90.00
Positions (direct):
Sb  0.097  0.094  0.000
Sb  0.597  0.906  0.500
Pd  0.228  0.716  0.000
Pd  0.464  0.344  0.000
Pd  0.078  0.263  0.304
Pd  0.578  0.737  0.196
Pd  0.964  0.656  0.500
Pd  0.728  0.284  0.500
Pd  0.578  0.737  0.804
Pd  0.078  0.263  0.696
Se  0.661  0.016  0.000
Se  0.955  0.593  0.202
Se  0.455  0.407  0.298
Se  0.161  0.984  0.500
Se  0.455  0.407  0.702
Se  0.955  0.593  0.798